Entry 1:
Computed, not measured: a relaxed structure of Ta2CdFe at the PBE level of DFT.

It has space group Pm (No. 6), with a = 2.833 Å, b = 4.402 Å, c = 5.666 Å, α = 90.00°, β = 102.27° and γ = 90.00°. The distinct sites, in fractional coordinates, are Ta at (0.000, 0.000, 0.000), Ta at (0.323, 0.500, 0.747), Cd at (0.650, 0.500, 0.277) and Fe at (0.565, 0.000, 0.564).

The value obtained for the energy relative to the elements is 6.68 kcal/mol of atoms. The crystal system is monoclinic. The value obtained for the spin magnetization is 1.17 Bohr magnetons per cell.

=====

Entry 2:
Computed, not measured: a relaxed structure of Ta2CdFe at the PBE level of DFT.

It has space group P2/m (No. 10), with a = 2.876 Å, b = 4.018 Å, c = 5.870 Å, α = 90.00°, β = 98.13° and γ = 90.00°. The distinct sites, in fractional coordinates, are Ta at (0.063, 0.000, 0.280), Cd at (0.500, 0.500, 0.000) and Fe at (0.500, 0.500, 0.500).

The value obtained for the energy relative to the elements is 5.77 kcal/mol of atoms. The crystal system is monoclinic. The value obtained for the spin magnetization is 1.01 Bohr magnetons per cell.

=====

Entry 3:
Computed, not measured: a relaxed structure of Ta2CdFe at the PBE level of DFT.

It has space group I4/mmm (No. 139), with a = 4.062 Å, b = 4.062 Å, c = 8.180 Å, α = 90.00°, β = 90.00° and γ = 90.00°. The distinct sites, in fractional coordinates, are Ta at (0.000, 0.500, 0.250), Cd at (0.000, 0.000, 0.000) and Fe at (0.000, 0.000, 0.500).

The value obtained for the energy relative to the elements is 7.60 kcal/mol of atoms. The crystal system is tetragonal. The value obtained for the spin magnetization is 3.55 Bohr magnetons per cell.

=====

Entry 4:
Computed, not measured: a relaxed structure of Ta2CdFe at the PBE level of DFT.

It has space group R-3m (No. 166, hexagonal axes), with a = 2.9448 Å, b = 2.9448 Å, c = 27.5819 Å, α = 90.00°, β = 90.00° and γ = 120.00°. The distinct sites, in fractional coordinates, are Ta at (0.0000, 0.0000, 0.2387), Cd at (0.0000, 0.0000, 0.0000) and Fe at (0.0000, 0.0000, 0.5000).

The value obtained for the energy relative to the elements is 6.72 kcal/mol of atoms. The crystal system is trigonal. The value obtained for the spin magnetization is 3.67 Bohr magnetons per cell.

=====

Entry 5:
Computed, not measured: a relaxed structure of Ta2CdFe at the PBE level of DFT.

It has space group Immm (No. 71), with a = 3.319 Å, b = 4.511 Å, c = 8.949 Å, α = 90.00°, β = 90.00° and γ = 90.00°. The distinct sites, in fractional coordinates, are Ta at (0.000, 0.000, 0.228), Cd at (0.000, 0.500, 0.000) and Fe at (0.000, 0.500, 0.500).

The value obtained for the energy relative to the elements is 5.92 kcal/mol of atoms. The crystal system is orthorhombic. The value obtained for the spin magnetization is 1.95 Bohr magnetons per cell.

=====

Entry 6:
Computed, not measured: a relaxed structure of Ta2CdFe at the PBE level of DFT.

It has space group P4/mmm (No. 123), with a = 2.870 Å, b = 2.870 Å, c = 8.142 Å, α = 90.00°, β = 90.00° and γ = 90.00°. The distinct sites, in fractional coordinates, are Ta at (0.000, 0.000, 0.205), Cd at (0.500, 0.500, 0.500) and Fe at (0.500, 0.500, 0.000).

The value obtained for the energy relative to the elements is 2.78 kcal/mol of atoms. The crystal system is tetragonal. The value obtained for the spin magnetization is 0.00 Bohr magnetons per cell.

=====

Entry 7:
Computed, not measured: a relaxed structure of Ta2CdFe at the PBE level of DFT.

It has space group Cmm2 (No. 35), with a = 3.407 Å, b = 4.493 Å, c = 9.026 Å, α = 90.00°, β = 90.00° and γ = 90.00°. The distinct sites, in fractional coordinates, are Ta at (0.000, 0.000, 0.000), Ta at (0.000, 0.500, 0.256), Cd at (0.000, 0.500, 0.720) and Fe at (0.000, 0.000, 0.476).

The value obtained for the energy relative to the elements is 4.22 kcal/mol of atoms. The crystal system is orthorhombic. The value obtained for the spin magnetization is 4.43 Bohr magnetons per cell.

=====

Entry 8:
Computed, not measured: a relaxed structure of Ta3CdFe at the PBE level of DFT.

It has space group Pm-3m (No. 221), with a = 4.903 Å, b = 4.903 Å, c = 4.903 Å, α = 90.00°, β = 90.00° and γ = 90.00°. The distinct sites, in fractional coordinates, are Ta at (0.000, 0.000, 0.500), Cd at (0.000, 0.000, 0.000) and Fe at (0.500, 0.500, 0.500).

For the excess energy over the best structure of this formula in the dataset, the calculation gives 2078 meV/atom. The value obtained for the energy relative to the elements is 63.50 kcal/mol of atoms. The crystal system is cubic. The value obtained for the spin magnetization is 0.66 Bohr magnetons per cell.

=====

Entry 9:
Computed, not measured: a relaxed structure of Ta2CdFe at the PBE level of DFT.

It has space group Pmmm (No. 47), with a = 2.935 Å, b = 3.873 Å, c = 5.852 Å, α = 90.00°, β = 90.00° and γ = 90.00°. The distinct sites, in fractional coordinates, are Ta at (0.000, 0.000, 0.222), Cd at (0.500, 0.500, 0.500) and Fe at (0.500, 0.500, 0.000).

The value obtained for the energy relative to the elements is 6.70 kcal/mol of atoms. The crystal system is orthorhombic. The value obtained for the spin magnetization is 0.47 Bohr magnetons per cell.

=====

Entry 10:
Computed, not measured: a relaxed structure of Ta2CdFe at the PBE level of DFT.

It has space group R3m (No. 160, hexagonal axes), with a = 3.0186 Å, b = 3.0186 Å, c = 26.7276 Å, α = 90.00°, β = 90.00° and γ = 120.00°. The distinct sites, in fractional coordinates, are Ta at (0.0000, 0.0000, 0.0000), Ta at (0.0000, 0.0000, 0.2458), Cd at (0.0000, 0.0000, 0.4838) and Fe at (0.0000, 0.0000, 0.7334).

The value obtained for the energy relative to the elements is 6.89 kcal/mol of atoms. The crystal system is trigonal. The value obtained for the spin magnetization is 2.92 Bohr magnetons per cell.

=====

Entry 11:
Computed, not measured: a relaxed structure of Ta2CdFe at the PBE level of DFT.

It has space group P4mm (No. 99), with a = 3.064 Å, b = 3.064 Å, c = 7.299 Å, α = 90.00°, β = 90.00° and γ = 90.00°. The distinct sites, in fractional coordinates, are Ta at (0.000, 0.000, 0.000), Ta at (0.500, 0.500, 0.273), Cd at (0.000, 0.000, 0.573) and Fe at (0.500, 0.500, 0.828).

The value obtained for the energy relative to the elements is 3.15 kcal/mol of atoms. The crystal system is tetragonal. The value obtained for the spin magnetization is 0.49 Bohr magnetons per cell.

=====

Entry 12:
Computed, not measured: a relaxed structure of Ta3CdFe at the PBE level of DFT.

It has space group Pm-3m (No. 221), with a = 4.611 Å, b = 4.611 Å, c = 4.611 Å, α = 90.00°, β = 90.00° and γ = 90.00°. The distinct sites, in fractional coordinates, are Ta at (0.000, 0.000, 0.500), Cd at (0.500, 0.500, 0.500) and Fe at (0.000, 0.000, 0.000).

For the excess energy over the best structure of this formula in the dataset, the calculation gives 0 meV/atom. The value obtained for the energy relative to the elements is 15.58 kcal/mol of atoms. The crystal system is cubic. The value obtained for the spin magnetization is 0.00 Bohr magnetons per cell.